Record 1
Here is an optimized crystal structure of Cd2ReSe from the Alexandria database. Energies are from PBE-GGA.

Output
V ... 26.881 Å³/atom
Formation energy without anion corrections ... 13.54 kcal/mol of atoms
Offset from the most stable computed form ... 390 meV per atom
Final energy ... -15.41 eV/f.u.

The structure in POSCAR format:
```
Cd2ReSe
1.0
-4.8123 4.8123 2.3215
4.8123 -4.8123 2.3215
4.8123 4.8123 -2.3215
Cd Re Se
4 2 2
Direct
0.0009 0.6250 0.8759
0.3750 0.2509 0.3759
0.7491 0.1250 0.1241
0.8750 0.9991 0.6241
0.0000 0.0000 0.0000
0.7500 0.2500 0.5000
0.2500 0.7500 0.5000
0.5000 0.5000 0.0000
```

Record 2
Here is an optimized crystal structure of CdRe2Se from the Alexandria database. Energies are from PBE-GGA.

Output
V ... 17.571 Å³/atom
Formation energy without anion corrections ... 16.91 kcal/mol of atoms
Offset from the most stable computed form ... 471 meV per atom
Final energy ... -26.36 eV/f.u.

The structure in POSCAR format:
```
CdRe2Se
1.0
-1.4723 2.3871 4.9996
1.4723 -2.3871 4.9996
1.4723 2.3871 -4.9996
Cd Re Se
1 2 1
Direct
0.0000 0.0000 0.0000
0.2862 0.7862 0.5000
0.4980 0.4980 0.0000
0.7163 0.2163 0.5000
```

Record 3
Here is an optimized crystal structure of Cd2ReSe from the Alexandria database. Energies are from PBE-GGA.

Output
V ... 20.492 Å³/atom
Formation energy without anion corrections ... 24.17 kcal/mol of atoms
Offset from the most stable computed form ... 851 meV per atom
Final energy ... -13.57 eV/f.u.

The structure in POSCAR format:
```
Cd2ReSe
1.0
0.0000 3.4478 3.4478
3.4478 0.0000 3.4478
3.4478 3.4478 0.0000
Cd Re Se
2 1 1
Direct
0.2500 0.2500 0.2500
0.7500 0.7500 0.7500
0.0000 0.0000 0.0000
0.5000 0.5000 0.5000
```

Record 4
Here is an optimized crystal structure of Cd2ReSe from the Alexandria database. Energies are from PBE-GGA.

Output
V ... 18.926 Å³/atom
Formation energy without anion corrections ... 13.54 kcal/mol of atoms
Offset from the most stable computed form ... 390 meV per atom
Final energy ... -15.41 eV/f.u.

The structure in POSCAR format:
```
Cd2ReSe
1.0
3.0286 -4.4701 0.0000
3.0286 4.4701 0.0000
0.0000 0.0000 2.7959
Cd Re Se
2 1 1
Direct
0.0000 0.5000 0.0000
0.5000 0.0000 0.0000
0.0000 0.0000 0.5000
0.5000 0.5000 0.5000
```

Record 5
Here is an optimized crystal structure of CdRe2Se from the Alexandria database. Energies are from PBE-GGA.

Output
V ... 16.828 Å³/atom
Formation energy without anion corrections ... 17.86 kcal/mol of atoms
Offset from the most stable computed form ... 512 meV per atom
Final energy ... -26.20 eV/f.u.

The structure in POSCAR format:
```
CdRe2Se
1.0
-1.5012 2.3593 4.7515
1.5012 -2.3593 4.7515
1.5012 2.3593 -4.7515
Cd Re Se
1 2 1
Direct
0.0000 0.0000 0.0000
0.2846 0.7846 0.5000
0.7154 0.2154 0.5000
0.5000 0.5000 0.0000
```

Record 6
Here is an optimized crystal structure of Cd2ReSe from the Alexandria database. Energies are from PBE-GGA.

Output
V ... 19.430 Å³/atom
Formation energy without anion corrections ... 12.50 kcal/mol of atoms
Offset from the most stable computed form ... 345 meV per atom
Final energy ... -15.59 eV/f.u.

The structure in POSCAR format:
```
Cd2ReSe
1.0
1.4500 0.8371 10.6714
-1.4500 0.8371 10.6714
0.0000 -1.6743 10.6714
Cd Re Se
2 1 1
Direct
0.2421 0.2421 0.2421
0.7579 0.7579 0.7579
0.5000 0.5000 0.5000
0.0000 0.0000 0.0000
```

Record 7
Here is an optimized crystal structure of CdRe2Se from the Alexandria database. Energies are from PBE-GGA.

Output
V ... 17.486 Å³/atom
Formation energy without anion corrections ... 25.55 kcal/mol of atoms
Offset from the most stable computed form ... 846 meV per atom
Final energy ... -24.86 eV/f.u.

The structure in POSCAR format:
```
CdRe2Se
1.0
3.8735 0.0000 0.0000
0.0000 3.8735 0.0000
0.0000 0.0000 4.6619
Cd Re Se
1 2 1
Direct
0.0000 0.0000 0.0000
0.0000 0.5000 0.5000
0.5000 0.0000 0.5000
0.5000 0.5000 0.0000
```

Record 8
Here is an optimized crystal structure of Cd2ReSe from the Alexandria database. Energies are from PBE-GGA.

Output
V ... 21.176 Å³/atom
Formation energy without anion corrections ... 8.86 kcal/mol of atoms
Offset from the most stable computed form ... 187 meV per atom
Final energy ... -16.23 eV/f.u.

The structure in POSCAR format:
```
Cd2ReSe
1.0
1.5137 -2.5362 0.0000
1.5137 2.5362 0.0000
0.0000 0.0000 11.0317
Cd Re Se
2 1 1
Direct
0.0000 0.0000 0.0000
0.5000 0.5000 0.2609
0.0000 0.0000 0.4869
0.5000 0.5000 0.6632
```